LiNdAu2: optimized geometry, PBE. Values from VASP.

Structure (Quantum ESPRESSO input):
```
&SYSTEM
  ibrav = 0, nat = 4, ntyp = 3
/
ATOMIC_SPECIES
Nd 144.24 Nd.upf
Au 196.97 Au.upf
Li 6.94 Li.upf
CELL_PARAMETERS angstrom
3.547 0.000 0.000
0.000 3.547 0.000
0.000 0.000 6.720
ATOMIC_POSITIONS angstrom
Nd 1.773 1.773 3.360
Au 0.000 0.000 5.297
Au 0.000 0.000 1.424
Li 1.773 1.773 0.000
```

Summary:
ΔH_f (0 K): -0.63 eV per atom

TaCd2Sb: optimized geometry, PBE. Values from VASP.

Structure (Quantum ESPRESSO input):
```
&SYSTEM
  ibrav = 0, nat = 4, ntyp = 3
/
ATOMIC_SPECIES
Sb 121.76 Sb.upf
Cd 112.41 Cd.upf
Ta 180.95 Ta.upf
CELL_PARAMETERS angstrom
3.046 -0.004 0.000
-0.031 3.046 0.000
0.000 0.000 9.662
ATOMIC_POSITIONS angstrom
Sb 1.507 1.521 2.415
Cd 0.000 0.000 9.385
Cd 0.000 0.000 5.108
Ta 1.507 1.521 7.246
```

Summary:
Uncorrected formation energy: 30.1 kJ/mol of atoms

Na2HgBr: optimized geometry, PBE. Values from VASP.

Structure (Quantum ESPRESSO input):
```
&SYSTEM
  ibrav = 0, nat = 8, ntyp = 3
/
ATOMIC_SPECIES
Na 22.99 Na.upf
Hg 200.59 Hg.upf
Br 79.90 Br.upf
CELL_PARAMETERS angstrom
-2.597 -2.452 7.270
-4.928 -5.350 -3.565
-0.903 -6.608 1.962
ATOMIC_POSITIONS angstrom
Na -2.379 -3.772 4.347
Na -3.717 -5.384 -0.587
Na -3.663 -8.060 2.742
Na -7.098 -11.605 4.832
Hg 0.000 0.000 0.000
Hg -3.631 -6.481 5.542
Br -3.763 -3.901 1.853
Br -4.797 -7.930 0.125
```

Summary:
Uncorrected formation energy: -65.1 kJ/mol of atoms
Energy above the lowest structure with this stoichiometry: 104.2 meV/atom

Number 1: raw total energy -3.940 eV per atom, size of the total moment 0.0 μB/cell, ρ 10.71 g/cm³. Number 2: raw total energy -4.139 eV per atom, size of the total moment 0.0 μB/cell, ρ 9.77 g/cm³. Number 3: raw total energy -1.828 eV per atom, size of the total moment 0.0 μB/cell, ρ 4.19 g/cm³.